# GGA-PBE KLa3Sb, relaxed
data_KLa3Sb
_chemical_formula_sum 'K1 La3 Sb1'
_symmetry_space_group_name_H-M 'P m -3 m'
_symmetry_Int_Tables_number 221
_symmetry_space_group_name_Hall '-P 4 2 3'
_cell_length_a 6.2166
_cell_length_b 6.2166
_cell_length_c 6.2166
_cell_angle_alpha 90.00
_cell_angle_beta 90.00
_cell_angle_gamma 90.00
loop_
_atom_site_label
_atom_site_type_symbol
_atom_site_fract_x
_atom_site_fract_y
_atom_site_fract_z
_atom_site_occupancy
K1 K 0.0000 0.0000 0.0000 1
La1 La 0.0000 0.5000 0.5000 1
Sb1 Sb 0.5000 0.5000 0.5000 1
# - V (Å³ per atom) = 48.050
# - ΔE_f (raw) (meV/atom) = -24.1
# - offset from the most stable computed form (meV per atom) = 0.0
# - E_tot (eV/atom) = -4.025


# GGA-PBE KLa2Sb2, relaxed
data_KLa2Sb2
_chemical_formula_sum 'K2 La4 Sb4'
_symmetry_space_group_name_H-M 'P 4/m b m'
_symmetry_Int_Tables_number 127
_symmetry_space_group_name_Hall '-P 4 2ab'
_cell_length_a 9.0660
_cell_length_b 9.0660
_cell_length_c 4.1771
_cell_angle_alpha 90.00
_cell_angle_beta 90.00
_cell_angle_gamma 90.00
loop_
_atom_site_label
_atom_site_type_symbol
_atom_site_fract_x
_atom_site_fract_y
_atom_site_fract_z
_atom_site_occupancy
K1 K 0.0000 0.0000 0.0000 1
La1 La 0.1421 0.3579 0.5000 1
Sb1 Sb 0.1544 0.6544 0.0000 1
# - V (Å³ per atom) = 34.332
# - ΔE_f (raw) (meV/atom) = -855.9
# - offset from the most stable computed form (meV per atom) = 0.0
# - E_tot (eV/atom) = -4.695


# GGA-PBE KLa2Sb2, relaxed
data_KLa2Sb2
_chemical_formula_sum 'K2 La4 Sb4'
_symmetry_space_group_name_H-M 'I 4/m m m'
_symmetry_Int_Tables_number 139
_symmetry_space_group_name_Hall '-I 4 2'
_cell_length_a 6.0656
_cell_length_b 6.0656
_cell_length_c 12.0688
_cell_angle_alpha 90.00
_cell_angle_beta 90.00
_cell_angle_gamma 90.00
loop_
_atom_site_label
_atom_site_type_symbol
_atom_site_fract_x
_atom_site_fract_y
_atom_site_fract_z
_atom_site_occupancy
K1 K 0.0000 0.0000 0.0000 1
La1 La 0.0000 0.0000 0.3236 1
Sb1 Sb 0.0000 0.5000 0.2500 1
# - V (Å³ per atom) = 44.402
# - ΔE_f (raw) (meV/atom) = -657.8
# - offset from the most stable computed form (meV per atom) = 198.0
# - E_tot (eV/atom) = -4.497


# GGA-PBE KLaSb, relaxed
data_KLaSb
_chemical_formula_sum 'K2 La2 Sb2'
_symmetry_space_group_name_H-M 'I 4 m m'
_symmetry_Int_Tables_number 107
_symmetry_space_group_name_Hall 'I 4 -2'
_cell_length_a 4.3243
_cell_length_b 4.3243
_cell_length_c 14.6827
_cell_angle_alpha 90.00
_cell_angle_beta 90.00
_cell_angle_gamma 90.00
loop_
_atom_site_label
_atom_site_type_symbol
_atom_site_fract_x
_atom_site_fract_y
_atom_site_fract_z
_atom_site_occupancy
K1 K 0.0000 0.0000 0.0000 1
La1 La 0.0000 0.0000 0.2555 1
Sb1 Sb 0.0000 0.0000 0.6939 1
# - V (Å³ per atom) = 45.761
# - ΔE_f (raw) (meV/atom) = -516.5
# - E_tot (eV/atom) = -3.899


# GGA-PBE KLa2Sb, relaxed
data_KLa2Sb
_chemical_formula_sum 'K2 La4 Sb2'
_symmetry_space_group_name_H-M 'I m m 2'
_symmetry_Int_Tables_number 44
_symmetry_space_group_name_Hall 'I 2 -2'
_cell_length_a 4.5123
_cell_length_b 5.2853
_cell_length_c 11.6701
_cell_angle_alpha 90.00
_cell_angle_beta 90.00
_cell_angle_gamma 90.00
loop_
_atom_site_label
_atom_site_type_symbol
_atom_site_fract_x
_atom_site_fract_y
_atom_site_fract_z
_atom_site_occupancy
K1 K 0.0000 0.0000 0.0000 1
La1 La 0.0000 0.0000 0.5528 1
La2 La 0.0000 0.5000 0.7773 1
Sb1 Sb 0.0000 0.5000 0.2650 1
# - V (Å³ per atom) = 34.789
# - ΔE_f (raw) (meV/atom) = -222.3
# - E_tot (eV/atom) = -3.991


# GGA-PBE K2LaSb2, relaxed
data_K2LaSb2
_chemical_formula_sum 'K4 La2 Sb4'
_symmetry_space_group_name_H-M 'I 4/m m m'
_symmetry_Int_Tables_number 139
_symmetry_space_group_name_Hall '-I 4 2'
_cell_length_a 4.6531
_cell_length_b 4.6531
_cell_length_c 16.1389
_cell_angle_alpha 90.00
_cell_angle_beta 90.00
_cell_angle_gamma 90.00
loop_
_atom_site_label
_atom_site_type_symbol
_atom_site_fract_x
_atom_site_fract_y
_atom_site_fract_z
_atom_site_occupancy
K1 K 0.0000 0.5000 0.2500 1
La1 La 0.0000 0.0000 0.0000 1
Sb1 Sb 0.0000 0.0000 0.4093 1
# - V (Å³ per atom) = 34.943
# - ΔE_f (raw) (meV/atom) = -415.9
# - offset from the most stable computed form (meV per atom) = 0.0
# - E_tot (eV/atom) = -3.489


# GGA-PBE KLa2Sb, relaxed
data_KLa2Sb
_chemical_formula_sum 'K3 La6 Sb3'
_symmetry_space_group_name_H-M 'R -3 m'
_symmetry_Int_Tables_number 166
_symmetry_space_group_name_Hall '-R 3 2"'
_cell_length_a 4.3501
_cell_length_b 4.3501
_cell_length_c 34.2764
_cell_angle_alpha 90.00
_cell_angle_beta 90.00
_cell_angle_gamma 120.00
loop_
_atom_site_label
_atom_site_type_symbol
_atom_site_fract_x
_atom_site_fract_y
_atom_site_fract_z
_atom_site_occupancy
K1 K 0.0000 0.0000 0.0000 1
La1 La 0.0000 0.0000 0.2220 1
Sb1 Sb 0.0000 0.0000 0.5000 1
# - V (Å³ per atom) = 46.810
# - ΔE_f (raw) (meV/atom) = -384.1
# - E_tot (eV/atom) = -4.153


# GGA-PBE KLa2Sb2, relaxed
data_KLa2Sb2
_chemical_formula_sum 'K2 La4 Sb4'
_symmetry_space_group_name_H-M 'I 4/m m m'
_symmetry_Int_Tables_number 139
_symmetry_space_group_name_Hall '-I 4 2'
_cell_length_a 5.4180
_cell_length_b 5.4180
_cell_length_c 15.1710
_cell_angle_alpha 90.00
_cell_angle_beta 90.00
_cell_angle_gamma 90.00
loop_
_atom_site_label
_atom_site_type_symbol
_atom_site_fract_x
_atom_site_fract_y
_atom_site_fract_z
_atom_site_occupancy
K1 K 0.0000 0.0000 0.0000 1
La1 La 0.0000 0.5000 0.2500 1
Sb1 Sb 0.0000 0.0000 0.3644 1
# - V (Å³ per atom) = 44.535
# - ΔE_f (raw) (meV/atom) = -645.6
# - offset from the most stable computed form (meV per atom) = 210.3
# - E_tot (eV/atom) = -4.485


# GGA-PBE KLa3Sb, relaxed
data_KLa3Sb
_chemical_formula_sum 'K1 La3 Sb1'
_symmetry_space_group_name_H-M 'P m -3 m'
_symmetry_Int_Tables_number 221
_symmetry_space_group_name_Hall '-P 4 2 3'
_cell_length_a 5.4947
_cell_length_b 5.4947
_cell_length_c 5.4947
_cell_angle_alpha 90.00
_cell_angle_beta 90.00
_cell_angle_gamma 90.00
loop_
_atom_site_label
_atom_site_type_symbol
_atom_site_fract_x
_atom_site_fract_y
_atom_site_fract_z
_atom_site_occupancy
K1 K 0.0000 0.0000 0.0000 1
La1 La 0.0000 0.0000 0.5000 1
Sb1 Sb 0.5000 0.5000 0.5000 1
# - V (Å³ per atom) = 33.179
# - ΔE_f (raw) (meV/atom) = 730.7
# - offset from the most stable computed form (meV per atom) = 754.9
# - E_tot (eV/atom) = -3.270


# GGA-PBE KLaSb, relaxed
data_KLaSb
_chemical_formula_sum 'K1 La1 Sb1'
_symmetry_space_group_name_H-M 'P 3 m 1'
_symmetry_Int_Tables_number 156
_symmetry_space_group_name_Hall 'P 3 -2"'
_cell_length_a 3.8485
_cell_length_b 3.8485
_cell_length_c 9.1681
_cell_angle_alpha 90.00
_cell_angle_beta 90.00
_cell_angle_gamma 120.00
loop_
_atom_site_label
_atom_site_type_symbol
_atom_site_fract_x
_atom_site_fract_y
_atom_site_fract_z
_atom_site_occupancy
K1 K 0.0000 0.0000 0.0000 1
La1 La 0.6667 0.3333 0.4381 1
Sb1 Sb 0.3333 0.6667 0.7037 1
# - V (Å³ per atom) = 39.200
# - ΔE_f (raw) (meV/atom) = -150.6
# - E_tot (eV/atom) = -3.533


# GGA-PBE KLa2Sb, relaxed
data_KLa2Sb
_chemical_formula_sum 'K2 La4 Sb2'
_symmetry_space_group_name_H-M 'C m m m'
_symmetry_Int_Tables_number 65
_symmetry_space_group_name_Hall '-C 2 2'
_cell_length_a 7.2250
_cell_length_b 10.4583
_cell_length_c 3.5970
_cell_angle_alpha 90.00
_cell_angle_beta 90.00
_cell_angle_gamma 90.00
loop_
_atom_site_label
_atom_site_type_symbol
_atom_site_fract_x
_atom_site_fract_y
_atom_site_fract_z
_atom_site_occupancy
K1 K 0.0000 0.0000 0.0000 1
La1 La 0.2500 0.2500 0.5000 1
Sb1 Sb 0.0000 0.5000 0.0000 1
# - V (Å³ per atom) = 33.975
# - ΔE_f (raw) (meV/atom) = -70.7
# - E_tot (eV/atom) = -3.839


# GGA-PBE KLa2Sb, relaxed
data_KLa2Sb
_chemical_formula_sum 'K1 La2 Sb1'
_symmetry_space_group_name_H-M 'P 4/m m m'
_symmetry_Int_Tables_number 123
_symmetry_space_group_name_Hall '-P 4 2'
_cell_length_a 4.0434
_cell_length_b 4.0434
_cell_length_c 10.6113
_cell_angle_alpha 90.00
_cell_angle_beta 90.00
_cell_angle_gamma 90.00
loop_
_atom_site_label
_atom_site_type_symbol
_atom_site_fract_x
_atom_site_fract_y
_atom_site_fract_z
_atom_site_occupancy
K1 K 0.0000 0.0000 0.0000 1
La1 La 0.5000 0.5000 0.3401 1
Sb1 Sb 0.0000 0.0000 0.5000 1
# - V (Å³ per atom) = 43.371
# - ΔE_f (raw) (meV/atom) = -357.1
# - E_tot (eV/atom) = -4.126


# GGA-PBE KLa2Sb, relaxed
data_KLa2Sb
_chemical_formula_sum 'K2 La4 Sb2'
_symmetry_space_group_name_H-M 'C 1 m 1'
_symmetry_Int_Tables_number 8
_symmetry_space_group_name_Hall 'C -2y'
_cell_length_a 10.8378
_cell_length_b 4.1558
_cell_length_c 7.7873
_cell_angle_alpha 90.00
_cell_angle_beta 101.59
_cell_angle_gamma 90.00
loop_
_atom_site_label
_atom_site_type_symbol
_atom_site_fract_x
_atom_site_fract_y
_atom_site_fract_z
_atom_site_occupancy
K1 K 0.0000 0.0000 0.0000 1
La1 La 0.2083 0.0000 0.6155 1
La2 La 0.4431 0.0000 0.4364 1
Sb1 Sb 0.2131 0.5000 0.2995 1
# - V (Å³ per atom) = 42.947
# - ΔE_f (raw) (meV/atom) = -204.1
# - E_tot (eV/atom) = -3.973


# GGA-PBE KLaSb, relaxed
data_KLaSb
_chemical_formula_sum 'K4 La4 Sb4'
_symmetry_space_group_name_H-M 'F -4 3 m'
_symmetry_Int_Tables_number 216
_symmetry_space_group_name_Hall 'F -4 2 3'
_cell_length_a 7.7796
_cell_length_b 7.7796
_cell_length_c 7.7796
_cell_angle_alpha 90.00
_cell_angle_beta 90.00
_cell_angle_gamma 90.00
loop_
_atom_site_label
_atom_site_type_symbol
_atom_site_fract_x
_atom_site_fract_y
_atom_site_fract_z
_atom_site_occupancy
K1 K 0.0000 0.0000 0.0000 1
La1 La 0.0000 0.0000 0.5000 1
Sb1 Sb 0.2500 0.2500 0.2500 1
# - V (Å³ per atom) = 39.237
# - ΔE_f (raw) (meV/atom) = -473.7
# - E_tot (eV/atom) = -3.856